(1)
The following is a DFT calculation (GGA-PBE) of a relaxed structure of NaIn3Au.

Computed properties:
magnetic moment = 0.0 μB/f.u.
theoretical density = 7.31 g/cm³

a = 4.4096 Å, b = 7.4854 Å, c = 8.1305 Å
α = 72.89°, β = 90.00°, γ = 90.00°
Fractional positions:
1 Na 0.3810 0.5286 0.2335
2 Na 0.8810 0.1462 0.5726
3 In 0.8810 0.6515 0.4983
4 In 0.3810 0.0234 0.3078
5 In 0.8810 0.6790 0.8870
6 In 0.8810 0.2647 0.0668
7 In 0.3810 0.4100 0.7390
8 In 0.3810 0.9957 0.9192
9 Au 0.3810 0.8183 0.6552
10 Au 0.8810 0.8564 0.1510


(2)
The following is a DFT calculation (GGA-PBE) of a relaxed structure of NaIn3Au.

Computed properties:
magnetic moment = 0.0 μB/f.u.
theoretical density = 5.77 g/cm³

a = 5.4575 Å, b = 5.4575 Å, c = 5.4575 Å
α = 90.00°, β = 90.00°, γ = 90.00°
Fractional positions:
1 Na 0.0000 0.0000 0.0000
2 Au 0.5000 0.5000 0.5000
3 In 0.0000 0.5000 0.0000
4 In 0.0000 0.0000 0.5000
5 In 0.5000 0.0000 0.0000


So which one is most stable? That would be (1), about 0.824 eV/atom below the next structure.


(1)
The following is a DFT calculation (GGA-PBE) of a relaxed structure of Na5InAu.

Computed properties:
magnetic moment = 0.0 μB/f.u.
theoretical density = 3.45 g/cm³

a = 6.1532 Å, b = 6.1532 Å, c = 10.9937 Å
α = 96.86°, β = 96.86°, γ = 88.15°
Fractional positions:
1 Na 0.0184 0.5932 0.1721
2 Na 0.2506 0.4838 0.4847
3 Na 0.5932 0.0184 0.6721
4 Na 0.8476 0.1524 0.2500
5 Na 0.5162 0.7494 0.0153
6 Na 0.4838 0.2506 0.9847
7 Na 0.1524 0.8476 0.7500
8 Na 0.4068 0.9816 0.3279
9 Na 0.7494 0.5162 0.5153
10 Na 0.9816 0.4068 0.8279
11 In 0.0000 0.0000 0.0000
12 In 0.0000 0.0000 0.5000
13 Au 0.5037 0.4963 0.2500
14 Au 0.4963 0.5037 0.7500


(2)
The following is a DFT calculation (GGA-PBE) of a relaxed structure of Na5InAu.

Computed properties:
magnetic moment = 0.0 μB/f.u.
theoretical density = 3.53 g/cm³

a = 6.2333 Å, b = 8.2512 Å, c = 9.3826 Å
α = 116.09°, β = 109.82°, γ = 90.00°
Fractional positions:
1 Na 0.4225 0.7866 0.8457
2 Na 0.3877 0.8856 0.2729
3 Na 0.9225 0.5591 0.8457
4 Na 0.7500 0.6502 0.5000
5 Na 0.1123 0.1127 0.7271
6 Na 0.8877 0.8873 0.2729
7 Na 0.2500 0.3498 0.5000
8 Na 0.0775 0.4409 0.1543
9 Na 0.6123 0.1144 0.7271
10 Na 0.5775 0.2134 0.1543
11 In 0.0000 0.0000 0.0000
12 In 0.5000 0.5000 0.0000
13 Au 0.7500 0.2401 0.5000
14 Au 0.2500 0.7599 0.5000


So which one is most stable? That would be (2), about 0.052 eV/atom below the next structure.


(1)
The following is a DFT calculation (GGA-PBE) of a relaxed structure of Na3In4Au2.

Computed properties:
magnetic moment = 0.0 μB/f.u.
theoretical density = 7.01 g/cm³

a = 4.7914 Å, b = 6.0794 Å, c = 8.4881 Å
α = 104.58°, β = 90.00°, γ = 113.21°
Fractional positions:
1 Na 0.4762 0.9525 0.6910
2 Na 0.0000 0.0000 0.0000
3 Na 0.5238 0.0475 0.3090
4 In 0.6920 0.3840 0.0640
5 In 0.1524 0.3047 0.5540
6 In 0.8476 0.6953 0.4460
7 In 0.3080 0.6160 0.9360
8 Au 0.2460 0.4919 0.2676
9 Au 0.7540 0.5081 0.7324


(2)
The following is a DFT calculation (GGA-PBE) of a relaxed structure of Na3In4Au2.

Computed properties:
magnetic moment = 0.0 μB/f.u.
theoretical density = 7.19 g/cm³

a = 4.9882 Å, b = 6.0368 Å, c = 8.1690 Å
α = 79.92°, β = 72.22°, γ = 65.60°
Fractional positions:
1 Na 0.3395 0.6505 0.6705
2 Na 0.0000 0.0000 0.0000
3 Na 0.6605 0.3495 0.3295
4 In 0.3052 0.3516 0.0379
5 In 0.6948 0.6484 0.9621
6 In 0.0845 0.2395 0.5915
7 In 0.9155 0.7605 0.4085
8 Au 0.3880 0.9456 0.2783
9 Au 0.6120 0.0544 0.7217


So which one is most stable? That would be (2), about 0.016 eV/atom below the next structure.


(1)
The following is a DFT calculation (GGA-PBE) of a relaxed structure of NbIn3Au.

Computed properties:
magnetic moment = 3.0 μB/f.u.
theoretical density = 7.31 g/cm³

a = 5.2435 Å, b = 5.2435 Å, c = 5.2435 Å
α = 90.00°, β = 90.00°, γ = 90.00°
Site moments in Bohr magnetons follow the coordinates.
Fractional positions:
1 Nb 0.5000 0.5000 0.5000  2.47
2 Au 0.0000 0.0000 0.0000  -0.03
3 In 0.0000 0.5000 0.0000  -0.01
4 In 0.0000 0.0000 0.5000  -0.07
5 In 0.5000 0.0000 0.0000  -0.01


(2)
The following is a DFT calculation (GGA-PBE) of a relaxed structure of NbIn3Au.

Computed properties:
magnetic moment = 0.0 μB/f.u.
theoretical density = 6.66 g/cm³

a = 5.4088 Å, b = 5.4088 Å, c = 5.4088 Å
α = 90.00°, β = 90.00°, γ = 90.00°
Fractional positions:
1 Nb 0.0000 0.0000 0.0000
2 Au 0.5000 0.5000 0.5000
3 In 0.0000 0.5000 0.0000
4 In 0.0000 0.0000 0.5000
5 In 0.5000 0.0000 0.0000


So which one is most stable? That would be (2), about 0.037 eV/atom below the next structure.


(1)
The following is a DFT calculation (GGA-PBE) of a relaxed structure of Nd2In3Au4.

Computed properties:
magnetic moment = 0.0 μB/f.u.
theoretical density = 11.20 g/cm³

a = 6.2256 Å, b = 8.1120 Å, c = 8.9070 Å
α = 90.00°, β = 110.46°, γ = 90.00°
Fractional positions:
1 Nd 0.1052 0.5921 0.2105
2 Nd 0.8948 0.4079 0.7895
3 Nd 0.3948 0.0921 0.7895
4 Nd 0.6052 0.9079 0.2105
5 In 0.0000 0.0000 0.0000
6 In 0.5000 0.5000 0.0000
7 In 0.5229 0.7500 0.5458
8 In 0.9771 0.2500 0.4542
9 In 0.4771 0.2500 0.4542
10 In 0.0229 0.7500 0.5458
11 Au 0.6934 0.7500 0.8868
12 Au 0.8066 0.2500 0.1132
13 Au 0.3066 0.2500 0.1132
14 Au 0.1934 0.7500 0.8868
15 Au 0.1730 0.9641 0.3459
16 Au 0.8270 0.0359 0.6541
17 Au 0.3270 0.4641 0.6541
18 Au 0.6730 0.5359 0.3459


(2)
The following is a DFT calculation (GGA-PBE) of a relaxed structure of Nd2In3Au4.

Computed properties:
magnetic moment = 0.0 μB/f.u.
theoretical density = 11.23 g/cm³

a = 4.9828 Å, b = 4.9828 Å, c = 9.7636 Å
α = 90.40°, β = 90.40°, γ = 60.08°
Fractional positions:
1 Nd 0.3353 0.3353 0.2175
2 Nd 0.6647 0.6647 0.7825
3 In 0.3304 0.3304 0.5834
4 In 0.0000 0.0000 0.0000
5 In 0.6696 0.6696 0.4166
6 Au 0.6675 0.6675 0.0953
7 Au 0.9966 0.9966 0.6505
8 Au 0.0034 0.0034 0.3495
9 Au 0.3325 0.3325 0.9047


So which one is most stable? That would be (2), about 0.037 eV/atom below the next structure.


(1)
The following is a DFT calculation (GGA-PBE) of a relaxed structure of Nd4InAu.

Computed properties:
magnetic moment = 0.0 μB/f.u.
theoretical density = 8.14 g/cm³

a = 5.5672 Å, b = 7.2040 Å, c = 10.0131 Å
α = 90.00°, β = 115.51°, γ = 90.00°
Fractional positions:
1 Nd 0.6206 0.2500 0.4455
2 Nd 0.3794 0.7500 0.5545
3 Nd 0.6654 0.2500 0.8772
4 Nd 0.3346 0.7500 0.1228
5 Nd 0.9165 0.0182 0.2296
6 Nd 0.0835 0.5182 0.7704
7 Nd 0.9165 0.4818 0.2296
8 Nd 0.0835 0.9818 0.7704
9 In 0.3165 0.2500 0.0835
10 In 0.6835 0.7500 0.9165
11 Au 0.2158 0.2500 0.5574
12 Au 0.7842 0.7500 0.4426


(2)
The following is a DFT calculation (GGA-PBE) of a relaxed structure of Nd4InAu.

Computed properties:
magnetic moment = 0.0 μB/f.u.
theoretical density = 7.39 g/cm³

a = 5.5973 Å, b = 6.5514 Å, c = 11.2497 Å
α = 90.00°, β = 104.40°, γ = 90.00°
Fractional positions:
1 Nd 0.8861 0.3048 0.7722
2 Nd 0.1139 0.8048 0.2278
3 Nd 0.4420 0.8492 0.8840
4 Nd 0.5580 0.3492 0.1160
5 Nd 0.7152 0.5553 0.4304
6 Nd 0.2848 0.0553 0.5696
7 Nd 0.6957 0.0727 0.3914
8 Nd 0.3043 0.5727 0.6086
9 In 0.8454 0.8198 0.6908
10 In 0.1546 0.3198 0.3092
11 Au 0.5768 0.8316 0.1537
12 Au 0.4232 0.3316 0.8463


So which one is most stable? That would be (1), about 0.126 eV/atom below the next structure.


(1)
The following is a DFT calculation (GGA-PBE) of a relaxed structure of Nd2In8Au.

Computed properties:
magnetic moment = 0.0 μB/f.u.
theoretical density = 7.83 g/cm³

a = 4.6470 Å, b = 6.9838 Å, c = 10.6968 Å
α = 117.75°, β = 102.55°, γ = 90.00°
Fractional positions:
1 Nd 0.8123 0.2234 0.6245
2 Nd 0.1877 0.7766 0.3755
3 In 0.3855 0.5790 0.7709
4 In 0.6263 0.9641 0.2526
5 In 0.7902 0.6844 0.5805
6 In 0.9925 0.2670 0.9849
7 In 0.2098 0.3156 0.4195
8 In 0.3737 0.0359 0.7474
9 In 0.6145 0.4210 0.2291
10 In 0.0075 0.7330 0.0151
11 Au 0.5000 0.0000 0.0000


(2)
The following is a DFT calculation (GGA-PBE) of a relaxed structure of Nd2In8Au.

Computed properties:
magnetic moment = 0.0 μB/f.u.
theoretical density = 8.19 g/cm³

a = 4.8029 Å, b = 4.8029 Å, c = 12.3358 Å
α = 90.00°, β = 90.00°, γ = 90.00°
Fractional positions:
1 Nd 0.0000 0.0000 0.3106
2 Nd 0.0000 0.0000 0.6894
3 In 0.0000 0.5000 0.5000
4 In 0.5000 0.0000 0.5000
5 In 0.5000 0.5000 0.3106
6 In 0.5000 0.5000 0.6894
7 In 0.0000 0.5000 0.1294
8 In 0.5000 0.0000 0.1294
9 In 0.0000 0.5000 0.8706
10 In 0.5000 0.0000 0.8706
11 Au 0.0000 0.0000 0.0000


So which one is most stable? That would be (2), about 0.117 eV/atom below the next structure.


(1)
The following is a DFT calculation (GGA-PBE) of a relaxed structure of NdInAu6.

Computed properties:
magnetic moment = 0.0 μB/f.u.
theoretical density = 14.74 g/cm³

a = 5.0034 Å, b = 5.4609 Å, c = 5.9411 Å
α = 90.00°, β = 90.00°, γ = 90.00°
Fractional positions:
1 Nd 0.0000 0.6519 0.0000
2 In 0.5000 0.3649 0.5000
3 Au 0.5000 0.8452 0.2566
4 Au 0.0000 0.1607 0.7406
5 Au 0.0000 0.1607 0.2594
6 Au 0.5000 0.8452 0.7434
7 Au 0.0000 0.6719 0.5000
8 Au 0.5000 0.2996 0.0000


(2)
The following is a DFT calculation (GGA-PBE) of a relaxed structure of NdInAu6.

Computed properties:
magnetic moment = 0.0 μB/f.u.
theoretical density = 14.35 g/cm³

a = 5.5035 Å, b = 5.5035 Å, c = 5.5035 Å
α = 90.00°, β = 90.00°, γ = 90.00°
Fractional positions:
1 Nd 0.5000 0.5000 0.5000
2 In 0.0000 0.0000 0.0000
3 Au 0.5000 0.7524 0.0000
4 Au 0.7524 0.0000 0.5000
5 Au 0.0000 0.5000 0.2476
6 Au 0.2476 0.0000 0.5000
7 Au 0.5000 0.2476 0.0000
8 Au 0.0000 0.5000 0.7524


So which one is most stable? That would be (1), about 0.018 eV/atom below the next structure.